[1]
# Rb2Sn3Sb2S10, PBEsol geometry, DFT meta-GGA SCAN
# Final energy   -1.429 Ry per atom
data_Rb2Sn3Sb2S10
_chemical_formula_sum 'Rb4 Sn6 Sb4 S20'
_symmetry_space_group_name_H-M 'P 1 21/c 1'
_symmetry_Int_Tables_number 14
_cell_length_a 6.778
_cell_length_b 13.149
_cell_length_c 11.699
_cell_angle_alpha 90.00
_cell_angle_beta 118.00
_cell_angle_gamma 90.00
loop_
_symmetry_equiv_pos_as_xyz
'x,y,z'
'-x,-y,-z'
'-x,y+1/2,-z+1/2'
'x,-y+1/2,z+1/2'
loop_
_atom_site_label
_atom_site_type_symbol
_atom_site_fract_x
_atom_site_fract_y
_atom_site_fract_z
Rb1 Rb 0.049 0.169 0.163
Sn1 Sn 0.000 0.000 0.500
Sn2 Sn 0.393 0.052 0.842
Sb1 Sb 0.499 0.652 0.913
S1 S 0.006 0.559 0.791
S2 S 0.096 0.178 0.459
S3 S 0.429 0.108 0.057
S4 S 0.430 0.527 0.132
S5 S 0.432 0.702 0.689



[2]
# Ca2BeSb, PBEsol geometry, DFT meta-GGA SCAN
# Final energy   -1.125 Ry per atom
# Relative energy among the computed polymorphs   407 meV/atom
data_Ca2BeSb
_chemical_formula_sum 'Ca4 Be2 Sb2'
_symmetry_space_group_name_H-M 'C 1 2/m 1'
_symmetry_Int_Tables_number 12
_cell_length_a 8.867
_cell_length_b 3.636
_cell_length_c 6.946
_cell_angle_alpha 90.00
_cell_angle_beta 101.51
_cell_angle_gamma 90.00
loop_
_symmetry_equiv_pos_as_xyz
'x,y,z'
'-x,-y,-z'
'-x,y,-z'
'x,-y,z'
'x+1/2,y+1/2,z'
'-x+1/2,-y+1/2,-z'
'-x+1/2,y+1/2,-z'
'x+1/2,-y+1/2,z'
loop_
_atom_site_label
_atom_site_type_symbol
_atom_site_fract_x
_atom_site_fract_y
_atom_site_fract_z
Ca1 Ca 0.248 0.000 0.238
Be1 Be 0.000 0.500 0.000
Sb1 Sb 0.000 0.000 0.500



[3]
# Y2MgP, PBEsol geometry, DFT meta-GGA SCAN
# Final energy   -1.370 Ry per atom
# ΔE_f   -3.53 eV/f.u.
# Relative energy among the computed polymorphs   0 meV/atom
data_Y2MgP
_chemical_formula_sum 'Y6 Mg3 P3'
_symmetry_space_group_name_H-M 'R -3 m'
_symmetry_Int_Tables_number 166
_symmetry_space_group_name_Hall '-R 3 2"'
_cell_length_a 3.8143
_cell_length_b 3.8143
_cell_length_c 25.0492
_cell_angle_alpha 90.00
_cell_angle_beta 90.00
_cell_angle_gamma 120.00
loop_
_atom_site_label
_atom_site_type_symbol
_atom_site_fract_x
_atom_site_fract_y
_atom_site_fract_z
Y1 Y 0.0000 0.0000 0.2299
Mg1 Mg 0.0000 0.0000 0.0000
P1 P 0.0000 0.0000 0.5000



[4]
# BePbBr, PBEsol geometry, DFT meta-GGA SCAN
# Final energy   -2.419 Ry per atom
data_BePbBr
_chemical_formula_sum 'Be2 Pb2 Br2'
_symmetry_space_group_name_H-M 'I 4 m m'
_symmetry_Int_Tables_number 107
_symmetry_space_group_name_Hall 'I 4 -2'
_cell_length_a 3.250
_cell_length_b 3.250
_cell_length_c 12.715
_cell_angle_alpha 90.00
_cell_angle_beta 90.00
_cell_angle_gamma 90.00
loop_
_atom_site_label
_atom_site_type_symbol
_atom_site_fract_x
_atom_site_fract_y
_atom_site_fract_z
Be1 Be 0.000 0.000 0.000
Pb1 Pb 0.000 0.000 0.344
Br1 Br 0.000 0.000 0.598



[5]
# Sr2SiO4, PBEsol geometry, DFT meta-GGA SCAN
# Final energy   -1.079 Ry per atom
data_Sr2SiO4
_chemical_formula_sum 'Sr8 Si4 O16'
_symmetry_space_group_name_H-M 'P 1 21/c 1'
_symmetry_Int_Tables_number 14
_cell_length_a 5.663
_cell_length_b 7.068
_cell_length_c 10.950
_cell_angle_alpha 90.00
_cell_angle_beta 117.68
_cell_angle_gamma 90.00
loop_
_symmetry_equiv_pos_as_xyz
'x,y,z'
'-x,-y,-z'
'-x,y+1/2,-z+1/2'
'x,-y+1/2,z+1/2'
loop_
_atom_site_label
_atom_site_type_symbol
_atom_site_fract_x
_atom_site_fract_y
_atom_site_fract_z
Sr1 Sr 0.028 0.000 0.302
Sr2 Sr 0.311 0.157 0.076
Si1 Si 0.340 0.721 0.081
O1 O 0.152 0.676 0.640
O2 O 0.247 0.680 0.428
O3 O 0.287 0.006 0.569
O4 O 0.343 0.234 0.819



[6]
# Mo4PSe, PBEsol geometry, DFT meta-GGA SCAN
# Final energy   -2.026 Ry per atom
data_Mo4PSe
_chemical_formula_sum 'Mo16 P4 Se4'
_symmetry_space_group_name_H-M 'F -4 3 m'
_symmetry_Int_Tables_number 216
_symmetry_space_group_name_Hall 'F -4 2 3'
_cell_length_a 7.288
_cell_length_b 7.288
_cell_length_c 7.288
_cell_angle_alpha 90.00
_cell_angle_beta 90.00
_cell_angle_gamma 90.00
loop_
_atom_site_label
_atom_site_type_symbol
_atom_site_fract_x
_atom_site_fract_y
_atom_site_fract_z
Mo1 Mo 0.124 0.124 0.124
P1 P 0.000 0.000 0.500
Se1 Se 0.250 0.250 0.750



[7]
# Ba2AlHg, PBEsol geometry, DFT meta-GGA SCAN
# Final energy   -2.876 Ry per atom
# ΔE_f   -1.51 eV/f.u.
# Relative energy among the computed polymorphs   0 meV/atom
data_Ba2AlHg
_chemical_formula_sum 'Ba4 Al2 Hg2'
_symmetry_space_group_name_H-M 'I m m 2'
_symmetry_Int_Tables_number 44
_cell_length_a 4.046
_cell_length_b 5.709
_cell_length_c 11.287
_cell_angle_alpha 90.00
_cell_angle_beta 90.00
_cell_angle_gamma 90.00
loop_
_symmetry_equiv_pos_as_xyz
'x,y,z'
'-x,-y,z'
'-x,y,z'
'x,-y,z'
'x+1/2,y+1/2,z+1/2'
'-x+1/2,-y+1/2,z+1/2'
'-x+1/2,y+1/2,z+1/2'
'x+1/2,-y+1/2,z+1/2'
loop_
_atom_site_label
_atom_site_type_symbol
_atom_site_fract_x
_atom_site_fract_y
_atom_site_fract_z
Ba1 Ba 0.000 0.000 0.000
Ba2 Ba 0.000 0.500 0.187
Al1 Al 0.000 0.000 0.421
Hg1 Hg 0.000 0.500 0.762



[8]
# Ba5B3CNO9, PBEsol geometry, DFT meta-GGA SCAN
# Final energy   -1.342 Ry per atom
data_Ba5B3CNO9
_chemical_formula_sum 'Ba20 B12 C4 N4 O36'
_symmetry_space_group_name_H-M 'C 2 2 21'
_symmetry_Int_Tables_number 20
_cell_length_a 10.456
_cell_length_b 14.716
_cell_length_c 7.958
_cell_angle_alpha 90.00
_cell_angle_beta 90.00
_cell_angle_gamma 90.00
loop_
_symmetry_equiv_pos_as_xyz
'x,y,z'
'-x,-y,z+1/2'
'x,-y,-z'
'-x,y,-z+1/2'
'x+1/2,y+1/2,z'
'-x+1/2,-y+1/2,z+1/2'
'x+1/2,-y+1/2,-z'
'-x+1/2,y+1/2,-z+1/2'
loop_
_atom_site_label
_atom_site_type_symbol
_atom_site_fract_x
_atom_site_fract_y
_atom_site_fract_z
Ba1 Ba 0.000 0.138 0.250
Ba2 Ba 0.000 0.144 0.750
Ba3 Ba 0.135 0.372 0.065
Ba4 Ba 0.241 0.500 0.500
B1 B 0.128 0.000 0.500
B2 B 0.195 0.290 0.469
C1 C 0.000 0.384 0.750
N1 N 0.000 0.464 0.750
O1 O 0.006 0.000 0.000
O2 O 0.120 0.352 0.384
O3 O 0.145 0.205 0.509
O4 O 0.179 0.188 0.011
O5 O 0.192 0.002 0.347



[9]
# ZrNiIN2, PBEsol geometry, DFT meta-GGA SCAN
# Final energy   -1.464 Ry per atom
# Relative energy among the computed polymorphs   0 meV/atom
data_ZrNiIN2
_chemical_formula_sum 'Zr1 Ni1 I1 N2'
_symmetry_space_group_name_H-M 'P 4/m m m'
_symmetry_Int_Tables_number 123
_symmetry_space_group_name_Hall '-P 4 2'
_cell_length_a 4.030
_cell_length_b 4.030
_cell_length_c 6.044
_cell_angle_alpha 90.00
_cell_angle_beta 90.00
_cell_angle_gamma 90.00
loop_
_atom_site_label
_atom_site_type_symbol
_atom_site_fract_x
_atom_site_fract_y
_atom_site_fract_z
Zr1 Zr 0.000 0.000 0.000
Ni1 Ni 0.500 0.500 0.500
I1 I 0.000 0.000 0.500
N1 N 0.000 0.500 0.000



[10]
# CaMgZr, PBEsol geometry, DFT meta-GGA SCAN
# Final energy   -1.084 Ry per atom
# ΔE_f   1.08 eV/f.u.
data_CaMgZr
_chemical_formula_sum 'Ca1 Mg1 Zr1'
_symmetry_space_group_name_H-M 'P 3 m 1'
_symmetry_Int_Tables_number 156
_cell_length_a 5.3476
_cell_length_b 5.3476
_cell_length_c 3.0713
_cell_angle_alpha 90.00
_cell_angle_beta 90.00
_cell_angle_gamma 120.00
loop_
_symmetry_equiv_pos_as_xyz
'x,y,z'
'-y,x-y,z'
'-x+y,-x,z'
'-y,-x,z'
'-x+y,y,z'
'x,x-y,z'
loop_
_atom_site_label
_atom_site_type_symbol
_atom_site_fract_x
_atom_site_fract_y
_atom_site_fract_z
Ca1 Ca 0.0000 0.0000 0.0000
Mg1 Mg 0.6667 0.3333 0.2649
Zr1 Zr 0.3333 0.6667 0.6028



[11]
# Mg2AgBiH, PBEsol geometry, DFT meta-GGA SCAN
# Final energy   -1.756 Ry per atom
data_Mg2AgBiH
_chemical_formula_sum 'Mg2 Ag1 Bi1 H1'
_symmetry_space_group_name_H-M 'P 4/m m m'
_symmetry_Int_Tables_number 123
_symmetry_space_group_name_Hall '-P 4 2'
_cell_length_a 5.675
_cell_length_b 5.675
_cell_length_c 5.297
_cell_angle_alpha 90.00
_cell_angle_beta 90.00
_cell_angle_gamma 90.00
loop_
_atom_site_label
_atom_site_type_symbol
_atom_site_fract_x
_atom_site_fract_y
_atom_site_fract_z
Mg1 Mg 0.000 0.500 0.000
Ag1 Ag 0.000 0.000 0.500
Bi1 Bi 0.000 0.000 0.000
H1 H 0.500 0.500 0.500



[12]
# CuAu, PBEsol geometry, DFT meta-GGA SCAN
# Final energy   -3.105 Ry per atom
# ΔE_f   -0.12 eV/f.u.
data_CuAu
_chemical_formula_sum 'Cu4 Au4'
_symmetry_space_group_name_H-M 'P n m a'
_symmetry_Int_Tables_number 62
_cell_length_a 4.811
_cell_length_b 4.437
_cell_length_c 5.346
_cell_angle_alpha 90.00
_cell_angle_beta 90.00
_cell_angle_gamma 90.00
loop_
_symmetry_equiv_pos_as_xyz
'x,y,z'
'-x,-y,-z'
'-x+1/2,-y,z+1/2'
'x+1/2,y,-z+1/2'
'x+1/2,-y+1/2,-z+1/2'
'-x+1/2,y+1/2,z+1/2'
'-x,y+1/2,-z'
'x,-y+1/2,z'
loop_
_atom_site_label
_atom_site_type_symbol
_atom_site_fract_x
_atom_site_fract_y
_atom_site_fract_z
Cu1 Cu 0.086 0.250 0.127
Au1 Au 0.108 0.250 0.623



Please write out number 12 again, unchanged.
# CuAu, PBEsol geometry, DFT meta-GGA SCAN
# Final energy   -3.105 Ry per atom
# ΔE_f   -0.12 eV/f.u.
data_CuAu
_chemical_formula_sum 'Cu4 Au4'
_symmetry_space_group_name_H-M 'P n m a'
_symmetry_Int_Tables_number 62
_cell_length_a 4.811
_cell_length_b 4.437
_cell_length_c 5.346
_cell_angle_alpha 90.00
_cell_angle_beta 90.00
_cell_angle_gamma 90.00
loop_
_symmetry_equiv_pos_as_xyz
'x,y,z'
'-x,-y,-z'
'-x+1/2,-y,z+1/2'
'x+1/2,y,-z+1/2'
'x+1/2,-y+1/2,-z+1/2'
'-x+1/2,y+1/2,z+1/2'
'-x,y+1/2,-z'
'x,-y+1/2,z'
loop_
_atom_site_label
_atom_site_type_symbol
_atom_site_fract_x
_atom_site_fract_y
_atom_site_fract_z
Cu1 Cu 0.086 0.250 0.127
Au1 Au 0.108 0.250 0.623



Question: Among the records above, which one has the highest final energy?
Answer: Sr2SiO4